DFT (PBE-GGA) results for a relaxed Ga2Pb13 crystal.

a b c (Å): 6.2061 8.5104 9.1458
angles (deg): 71.25 82.92 87.93
Space group P-1 (No. 2)
Unique sites:
Ga  0.1321  0.2656  0.2016 (multiplicity 2)
Pb  0.0000  0.0000  0.0000 (multiplicity 1)
Pb  0.0651  0.1299  0.5959 (multiplicity 2)
Pb  0.1941  0.3989  0.8132 (multiplicity 2)
Pb  0.2634  0.5281  0.4023 (multiplicity 2)
Pb  0.3297  0.6609  0.0028 (multiplicity 2)
Pb  0.4000  0.7966  0.6056 (multiplicity 2)
Pb  0.4616  0.9398  0.2000 (multiplicity 2)

Calculated values
As for the density of states at the Fermi level: 6.76 states/eV per cell. Its uncorrected energy is -3.60 eV per atom. The calculation puts the energy of formation from the pure elements at 0.02 eV per atom. As for the size of the total moment: 0.00 μB per formula unit. The value obtained for the mass density is 10.36 g/cm³.